(1)
## Rb2YSnTe4 (GGA-PBE)

Data for Rb2YSnTe4 after structural relaxation.

## Properties
* theoretical density: 4827 kg/m³
* volume: 306 Å³/cell
* uncorrected formation energy: -959 meV per atom
* symmetry: P2/m, No. 10

abc: 4.4912 7.9436 8.9432
angles: 106.56 90.00 90.00
Last column: nearest neighbours and their distance in Å.
Sites, in units of the cell vectors:
Rb 0.5000 0.0000 0.5000  6 Te 3.69-3.70
Rb 0.0000 0.5000 0.5000  6 Te 3.68-3.69
Y 0.5000 0.5000 0.0000  6 Te 3.11
Sn 0.0000 0.0000 0.0000  6 Te 3.12-3.13
Te 0.5000 0.2345 0.1964  1 Y 3.11, 2 Sn 3.12
Te 0.5000 0.7655 0.8036  1 Y 3.11, 2 Sn 3.12
Te 0.0000 0.2684 0.8025  2 Y 3.11, 1 Sn 3.13
Te 0.0000 0.7316 0.1975  2 Y 3.11, 1 Sn 3.13

(2)
## SmRu2 (GGA-PBE)

Data for SmRu2 after structural relaxation.

## Properties
* theoretical density: 10559 kg/m³
* energy of formation from the pure elements: -0.20 eV/atom
* volume: 111 Å³/cell
* symmetry: Fd-3m, No. 227

abc: 5.3923 5.3923 5.3923
angles: 60.00 60.00 60.00
Last column: nearest neighbours and their distance in Å.
Sites, in units of the cell vectors:
Sm 0.5000 0.5000 0.5000  12 Ru 3.16, 4 Sm 3.30
Sm 0.7500 0.7500 0.7500  12 Ru 3.16, 4 Sm 3.30
Ru 0.1250 0.1250 0.1250  6 Ru 2.70
Ru 0.6250 0.1250 0.1250  6 Ru 2.70
Ru 0.1250 0.6250 0.1250  6 Ru 2.70
Ru 0.1250 0.1250 0.6250  6 Ru 2.70

(3)
## Th2Ni2Ag3 (GGA-PBE)

Data for Th2Ni2Ag3 after structural relaxation.

## Properties
* theoretical density: 10657 kg/m³
* energy of formation from the pure elements: -0.26 eV/atom
* volume: 141 Å³/cell
* symmetry: C2/m, No. 12

abc: 3.9698 5.3971 7.1299
angles: 96.43 90.00 111.58
Last column: nearest neighbours and their distance in Å.
Sites, in units of the cell vectors:
Th 0.6240 0.2480 0.3405  5 Ni 2.86-2.94
Th 0.3760 0.7520 0.6595  5 Ni 2.86-2.94
Ni 0.0894 0.1788 0.6358  1 Ni 2.48, 2 Ag 2.70
Ni 0.9106 0.8212 0.3642  1 Ni 2.48, 2 Ag 2.70
Ag 0.3139 0.6278 0.1289  2 Ni 2.70, 4 Ag 2.90-2.95
Ag 0.0000 0.0000 0.0000  2 Ni 2.85, 6 Ag 2.95-3.17
Ag 0.6861 0.3722 0.8711  2 Ni 2.70, 4 Ag 2.90-2.95

(4)
## Sc2Ni3 (GGA-PBE)

Data for Sc2Ni3 after structural relaxation.

## Properties
* theoretical density: 5405 kg/m³
* energy of formation from the pure elements: -0.22 eV/atom
* volume: 82 Å³/cell
* symmetry: P-3m1, No. 164

abc: 4.1473 4.1473 5.4858
angles: 90.00 90.00 120.00
Last column: nearest neighbours and their distance in Å.
Sites, in units of the cell vectors:
Sc 0.6667 0.3333 0.3111  4 Ni 2.52-2.56
Sc 0.3333 0.6667 0.6889  4 Ni 2.52-2.56
Ni 0.0000 0.0000 0.0000  6 Ni 2.53
Ni 0.6667 0.3333 0.8519  4 Sc 2.52-2.56, 3 Ni 2.53
Ni 0.3333 0.6667 0.1481  4 Sc 2.52-2.56, 3 Ni 2.53